# 1
The following is a meta-GGA SCAN calculation of a PBEsol-optimized structure of Ce3SiI3, from the Alexandria database.

Summary:
- energy relative to the elements, uncorrected (kcal/mol of atoms) = -27.340
- DOS(E_F) (states/eV/cell) = 59.29
- calculated volume (Å³/atom) = 31.89
- spin magnetization (μB per formula unit) = 3.43
- theoretical density (kg/m³) = 6167

Cell lengths 12.1327, 12.1327, 12.1327 Å; angles 90.00, 90.00, 90.00 degrees
Space group I4_132 (No. 214)
Inequivalent atoms, fractional coordinates:
Ce 0.1114 0.3614 0.1250 [24 per cell]
Si 0.1250 0.1250 0.1250 [8 per cell]
I 0.1146 0.1354 0.6250 [24 per cell]

# 2
The following is a meta-GGA SCAN calculation of a PBEsol-optimized structure of SrCeI4, from the Alexandria database.

Summary:
- energy relative to the elements, uncorrected (kcal/mol of atoms) = -37.985
- DOS(E_F) (states/eV/cell) = 17.27
- calculated volume (Å³/atom) = 36.98
- spin magnetization (μB per formula unit) = 1.42
- theoretical density (kg/m³) = 5503

Cell lengths 10.0543, 14.5800, 7.3385 Å; angles 90.00, 124.40, 90.00 degrees
Space group C2/c (No. 15)
Inequivalent atoms, fractional coordinates:
Sr 0.0000 0.1345 0.2500 [4 per cell]
Ce 0.0000 0.4994 0.7500 [4 per cell]
I 0.1197 0.3228 0.5876 [8 per cell]
I 0.1964 0.0624 0.7672 [8 per cell]

# 3
The following is a meta-GGA SCAN calculation of a PBEsol-optimized structure of Ce2In, from the Alexandria database.

Summary:
- DOS(E_F) (states/eV/cell) = 6.73
- final energy (eV per atom) = -41.234
- calculated volume (Å³/atom) = 27.05
- spin magnetization (μB per formula unit) = 2.89
- theoretical density (kg/m³) = 8084

Cell lengths 5.3549, 5.3549, 6.5352 Å; angles 90.00, 90.00, 120.00 degrees
Space group P6_3/mmc (No. 194)
Inequivalent atoms, fractional coordinates:
Ce 0.0000 0.0000 0.0000 [2 per cell]
Ce 0.3333 0.6667 0.2500 [2 per cell]
In 0.3333 0.6667 0.7500 [2 per cell]

# 4
The following is a meta-GGA SCAN calculation of a PBEsol-optimized structure of Ce2In8Ir, from the Alexandria database.

Summary:
- DOS(E_F) (states/eV/cell) = 8.57
- final energy (eV per atom) = -39.359
- calculated volume (Å³/atom) = 23.37
- spin magnetization (μB per formula unit) = 2.09
- theoretical density (kg/m³) = 8986

Cell lengths 4.6289, 4.6289, 11.9963 Å; angles 90.00, 90.00, 90.00 degrees
Space group P4/mmm (No. 123)
Inequivalent atoms, fractional coordinates:
Ce 0.0000 0.0000 0.1935 [2 per cell]
In 0.0000 0.5000 0.0000 [2 per cell]
In 0.0000 0.5000 0.3770 [4 per cell]
In 0.5000 0.5000 0.1911 [2 per cell]
Ir 0.0000 0.0000 0.5000 [1 per cell]